Record 1
VASP calculation (GGA-PBE) on an optimized crystal structure of Ce4S2Cl3.

Properties
E_form (uncorrected), eV/atom: -1.9060
Electronic total energy, eV per cell: -109.4

a = 6.9765 Å, b = 4.0279 Å, c = 16.4332 Å
α = 90.00°, β = 90.06°, γ = 90.00°
Space group C2/m (No. 12)
Unique sites:
Ce: 0.0008 0.0000 0.2951
Ce: 0.1664 0.5000 0.8936
S: 0.1672 0.5000 0.2011
Cl: 0.0000 0.0000 0.0000
Cl: 0.1657 0.5000 0.6013


Record 2
VASP calculation (GGA-PBE) on an optimized crystal structure of Ba2SrAl.

Properties
DFT formation energy, eV per atom: 0.175
Electronic total energy, eV per cell: -34.3

a = 10.4677 Å, b = 10.4677 Å, c = 7.2987 Å
α = 90.00°, β = 90.00°, γ = 90.00°
Space group I-42d (No. 122)
Unique sites:
Ba: 0.1797 0.2500 0.1250
Sr: 0.0000 0.0000 0.5000
Al: 0.0000 0.0000 0.0000


Record 3
VASP calculation (GGA-PBE) on an optimized crystal structure of K2UTe4Au2.

Properties
E_form (uncorrected), eV/atom: -0.6635
Electronic total energy, eV per cell: -77.2

a = 16.1087 Å, b = 4.4790 Å, c = 8.4951 Å
α = 90.00°, β = 109.49°, γ = 90.00°
Space group C2/m (No. 12)
Unique sites:
K: 0.1346 0.0000 0.0858
U: 0.0000 0.0000 0.5000
Te: 0.0084 0.5000 0.2519
Te: 0.1976 0.0000 0.7013
Au: 0.1743 0.5000 0.4902


Record 4
VASP calculation (GGA-PBE) on an optimized crystal structure of Cd12InPb16.

Properties
DFT formation energy, eV per atom: 0.033
Electronic total energy, eV per cell: -144.2

a = 11.7835 Å, b = 16.5480 Å, c = 10.1882 Å
α = 90.00°, β = 124.86°, γ = 90.00°
Space group Cm (No. 8)
Unique sites:
Cd: 0.0000 0.0000 0.0000
Cd: 0.0467 0.3145 0.3577
Cd: 0.0914 0.0931 0.8105
Cd: 0.1388 0.4068 0.1687
Cd: 0.1839 0.0000 0.3706
Cd: 0.3653 0.1895 0.9886
Cd: 0.4622 0.0928 0.5478
In: 0.4778 0.5000 0.4719
Pb: 0.0693 0.2935 0.8632
Pb: 0.1720 0.5000 0.8955
Pb: 0.1975 0.1697 0.1829
Pb: 0.2114 0.1595 0.5830
Pb: 0.2170 0.5000 0.5004
Pb: 0.3020 0.3499 0.7683
Pb: 0.3564 0.0000 0.8325
Pb: 0.3694 0.0000 0.1807
Pb: 0.3801 0.3019 0.4873
Pb: 0.4137 0.3638 0.1790


Record 5
VASP calculation (GGA-PBE) on an optimized crystal structure of LuZnPdPb.

Properties
DFT formation energy, eV per atom: -0.423
Electronic total energy, eV per cell: -65.6

a = 6.8944 Å, b = 6.8944 Å, c = 6.8944 Å
α = 90.00°, β = 90.00°, γ = 90.00°
Space group F-43m (No. 216)
Unique sites:
Lu: 0.0000 0.0000 0.0000
Zn: 0.2500 0.2500 0.2500
Pd: 0.2500 0.2500 0.7500
Pb: 0.0000 0.0000 0.5000


Record 6
VASP calculation (GGA-PBE) on an optimized crystal structure of Pr4Y2ErTm2.

Properties
DFT formation energy, eV per atom: 0.026
Electronic total energy, eV per cell: -90.6

a = 15.3388 Å, b = 5.1102 Å, c = 8.0607 Å
α = 90.00°, β = 108.42°, γ = 90.00°
Space group C2/m (No. 12)
Unique sites:
Pr: 0.0540 0.0000 0.3285
Pr: 0.2223 0.5000 0.3297
Y: 0.1118 0.5000 0.6712
Er: 0.0000 0.5000 0.0000
Tm: 0.1674 0.0000 0.9998